Computed, not measured: a relaxed structure of Ac2La2Se3S2 at the GGA-PBE level of DFT.

Output
The total energy is -5.80 eV per atom. The value obtained for the formation energy without anion corrections is -1.7136 eV per atom. For the density of states at the Fermi level, the calculation gives 4.93 states/eV/cell.

a b c (Å): 5.9883 5.9883 8.6543
angles (deg): 110.24 110.24 90.00
With the nearest neighbours (Å) after each atom.
Fractional coordinates of all 9 atoms:
Se: 0.0000 0.0000 0.0000  4 La 2.99, 2 Ac 3.26
Se: 0.2500 0.7500 0.5000  4 Ac 3.04
Se: 0.7500 0.2500 0.5000  4 Ac 3.04
La: 0.5000 0.0000 0.0000  2 Se 2.99, 4 S 3.32
La: 0.0000 0.5000 0.0000  2 Se 2.99, 4 S 3.32
S: 0.4044 0.4044 0.8087  1 Ac 2.84, 1 S 2.89
S: 0.5956 0.5956 0.1913  1 Ac 2.84, 1 S 2.89
Ac: 0.2160 0.2160 0.4320  1 S 2.84, 4 Se 3.04
Ac: 0.7840 0.7840 0.5680  1 S 2.84, 4 Se 3.04

=====

Computed, not measured: a relaxed structure of Sr3YB3O9 at the GGA-PBE level of DFT.

Output
The total energy is -7.70 eV per atom. The value obtained for the formation energy without anion corrections is -2.9403 eV per atom. For the density of states at the Fermi level, the calculation gives 0.00 states/eV/cell.

a b c (Å): 7.9264 7.9264 7.9264
angles (deg): 105.02 105.02 105.02
With the nearest neighbours (Å) after each atom.
Fractional coordinates of all 32 atoms:
O: 0.4777 0.9551 0.1880  1 B 1.38
O: 0.9679 0.2524 0.1971  1 B 1.39
O: 0.8120 0.5223 0.0449  1 B 1.38
O: 0.0321 0.7476 0.8029  1 B 1.39
O: 0.5067 0.7952 0.5545  1 B 1.40
O: 0.4455 0.4933 0.2048  1 B 1.40
O: 0.2048 0.4455 0.4933  1 B 1.40
O: 0.2524 0.1971 0.9679  1 B 1.39
O: 0.1971 0.9679 0.2524  1 B 1.39
O: 0.7952 0.5545 0.5067  1 B 1.40
O: 0.0449 0.8120 0.5223  1 B 1.38
O: 0.7476 0.8029 0.0321  1 B 1.39
O: 0.8029 0.0321 0.7476  1 B 1.39
O: 0.5223 0.0449 0.8120  1 B 1.38
O: 0.4933 0.2048 0.4455  1 B 1.40
O: 0.5545 0.5067 0.7952  1 B 1.40
O: 0.1880 0.4777 0.9551  1 B 1.38
O: 0.9551 0.1880 0.4777  1 B 1.38
Sr: 0.3602 0.7353 0.8612  5 O 2.49-2.70
Sr: 0.7353 0.8612 0.3602  5 O 2.49-2.70
Sr: 0.1388 0.6398 0.2647  5 O 2.49-2.70
Sr: 0.8612 0.3602 0.7353  5 O 2.49-2.70
Sr: 0.2647 0.1388 0.6398  5 O 2.49-2.70
Sr: 0.6398 0.2647 0.1388  5 O 2.49-2.70
B: 0.9600 0.7075 0.6110  3 O 1.38-1.40
B: 0.6110 0.9600 0.7075  3 O 1.38-1.40
B: 0.2925 0.3890 0.0400  3 O 1.38-1.40
B: 0.7075 0.6110 0.9600  3 O 1.38-1.40
B: 0.0400 0.2925 0.3890  3 O 1.38-1.40
B: 0.3890 0.0400 0.2925  3 O 1.38-1.40
Y: 0.0000 0.0000 0.0000  6 O 2.31
Y: 0.5000 0.5000 0.5000  6 O 2.25

=====

Computed, not measured: a relaxed structure of CeSm2P3Rh12 at the GGA-PBE level of DFT.

Output
The total energy is -7.06 eV per atom. For the density of states at the Fermi level, the calculation gives 16.61 states/eV/cell. The calculation puts the formation energy at -406 meV/atom.

a b c (Å): 6.7479 6.7479 6.7479
angles (deg): 83.29 83.29 83.29
With the nearest neighbours (Å) after each atom.
Fractional coordinates of all 18 atoms:
P: 0.5000 0.0000 0.0000  2 Rh 2.25
P: 0.0000 0.5000 0.0000  2 Rh 2.25
P: 0.0000 0.0000 0.5000  2 Rh 2.25
Rh: 0.9117 0.3658 0.3658  2 P 2.56, 1 Rh 2.71
Rh: 0.6342 0.6342 0.0883  2 P 2.56, 1 Rh 2.71
Rh: 0.8226 0.3342 0.8226  1 P 2.25
Rh: 0.1774 0.1774 0.6658  1 P 2.25
Rh: 0.3342 0.8226 0.8226  1 P 2.25
Rh: 0.1774 0.6658 0.1774  1 P 2.25
Rh: 0.0883 0.6342 0.6342  2 P 2.56, 1 Rh 2.71
Rh: 0.8226 0.8226 0.3342  1 P 2.25
Rh: 0.6342 0.0883 0.6342  2 P 2.56, 1 Rh 2.71
Rh: 0.3658 0.3658 0.9117  2 P 2.56, 1 Rh 2.71
Rh: 0.6658 0.1774 0.1774  1 P 2.25
Rh: 0.3658 0.9117 0.3658  2 P 2.56, 1 Rh 2.71
Ce: 0.0000 0.0000 0.0000  6 Rh 2.65
Sm: 0.6256 0.6256 0.6256  3 Rh 2.57
Sm: 0.3744 0.3744 0.3744  3 Rh 2.57

=====

Computed, not measured: a relaxed structure of SrHgBiI6 at the GGA-PBE level of DFT.

Output
The total energy is -2.42 eV per atom. The value obtained for the formation energy without anion corrections is -0.7376 eV per atom. For the density of states at the Fermi level, the calculation gives 4.06 states/eV/cell.

a b c (Å): 8.0378 8.0379 7.3632
angles (deg): 89.96 90.04 59.99
With the nearest neighbours (Å) after each atom.
Fractional coordinates of all 9 atoms:
I: 0.3324 0.6488 0.2525  1 Bi 3.12, 1 Sr 3.31, 1 Hg 3.32
I: 0.6487 0.3325 0.7475  1 Bi 3.12, 1 Sr 3.31, 1 Hg 3.32
I: 0.6483 0.0191 0.2527  1 Bi 3.12, 1 Sr 3.31, 1 Hg 3.32
I: 0.3331 0.0184 0.7476  1 Bi 3.12, 1 Sr 3.31, 1 Hg 3.32
I: 0.0184 0.3330 0.2525  1 Bi 3.12, 1 Sr 3.31, 1 Hg 3.32
I: 0.0190 0.6483 0.7473  1 Bi 3.12, 1 Sr 3.31, 1 Hg 3.32
Hg: 0.0000 0.0000 0.9999  6 I 3.32
Bi: 0.3332 0.3332 0.5000  6 I 3.12
Sr: 0.6667 0.6667 0.5000  6 I 3.31

=====

Computed, not measured: a relaxed structure of ZrScGaRh at the GGA-PBE level of DFT.

Output
The total energy is -7.03 eV per atom. For the density of states at the Fermi level, the calculation gives 2.27 states/eV/cell. The calculation puts the formation energy at -717 meV/atom.

a b c (Å): 3.3270 3.3270 6.5847
angles (deg): 90.00 90.00 90.00
With the nearest neighbours (Å) after each atom.
Fractional coordinates of all 4 atoms:
Sc: 0.0000 0.0000 0.3688  4 Rh 2.80, 4 Ga 2.89
Rh: 0.5000 0.5000 0.5995  4 Sc 2.80, 4 Zr 2.86
Ga: 0.5000 0.5000 0.1126  4 Sc 2.89, 4 Zr 2.93, 1 Rh 3.21
Zr: 0.0000 0.0000 0.8470  4 Rh 2.86, 4 Ga 2.93, 1 Sc 3.15

=====

Computed, not measured: a relaxed structure of BaHfF2 at the GGA-PBE level of DFT.

Output
The total energy is -5.04 eV per atom. The value obtained for the formation energy without anion corrections is -1.1304 eV per atom. The excess energy over the best structure of this formula in the dataset is 22.006 kcal/mol of atoms. For the density of states at the Fermi level, the calculation gives 3.66 states/eV/cell.

a b c (Å): 4.8777 4.8777 4.8777
angles (deg): 60.00 60.00 60.00
With the nearest neighbours (Å) after each atom.
Fractional coordinates of all 4 atoms:
Ba: 0.0000 0.0000 0.0000  8 F 2.99
Hf: 0.5000 0.5000 0.5000  8 F 2.99
F: 0.7500 0.7500 0.7500  4 Hf 2.99, 4 Ba 2.99
F: 0.2500 0.2500 0.2500  4 Ba 2.99, 4 Hf 2.99

=====

Computed, not measured: a relaxed structure of ZnReOs2 at the GGA-PBE level of DFT.

Output
The total energy is -8.91 eV per atom. For the density of states at the Fermi level, the calculation gives 2.29 states/eV/cell. The calculation puts the formation energy at 140 meV/atom.

a b c (Å): 8.9985 8.9985 8.9985
angles (deg): 17.61 17.61 17.61
With the nearest neighbours (Å) after each atom.
Fractional coordinates of all 4 atoms:
Re: 0.5025 0.5025 0.5025  3 Os 2.67, 6 Re 2.76, 3 Zn 2.80
Os: 0.9988 0.9988 0.9988  9 Os 2.71-2.76, 3 Zn 2.73
Os: 0.2497 0.2497 0.2497  3 Re 2.67, 9 Os 2.71-2.76
Zn: 0.7490 0.7490 0.7490  3 Os 2.73, 6 Zn 2.76, 3 Re 2.80

=====

Computed, not measured: a relaxed structure of Pm4NdTmS8 at the GGA-PBE level of DFT.

Output
The total energy is -6.29 eV per atom. The value obtained for the formation energy without anion corrections is -1.9163 eV per atom. For the density of states at the Fermi level, the calculation gives 7.89 states/eV/cell.

a b c (Å): 8.2593 8.2593 8.2077
angles (deg): 59.79 59.79 60.00
With the nearest neighbours (Å) after each atom.
Fractional coordinates of all 14 atoms:
Tm: 0.9999 0.9999 0.0002  6 S 2.73
S: 0.2339 0.7798 0.7524  1 Nd 2.72, 1 Tm 2.73, 2 Pm 2.84
S: 0.7655 0.2225 0.2465  3 Pm 2.70-2.85, 1 Tm 2.73
S: 0.7655 0.7655 0.2465  3 Pm 2.70-2.85, 1 Tm 2.73
S: 0.2339 0.2339 0.7524  1 Nd 2.72, 1 Tm 2.73, 2 Pm 2.84
S: 0.2225 0.7655 0.2465  3 Pm 2.70-2.85, 1 Tm 2.73
S: 0.2428 0.2428 0.2715  1 Nd 2.68, 3 Pm 2.83
S: 0.7798 0.2339 0.7524  1 Nd 2.72, 1 Tm 2.73, 2 Pm 2.84
S: 0.7562 0.7562 0.7315  4 Pm 2.66-2.84
Pm: 0.9998 0.5006 0.4999  6 S 2.83-2.85
Pm: 0.9998 0.9998 0.4999  6 S 2.83-2.85
Pm: 0.5006 0.9998 0.4999  6 S 2.83-2.85
Pm: 0.6232 0.6232 0.1304  4 S 2.66-2.70
Nd: 0.3767 0.3767 0.8700  4 S 2.68-2.72